A plane-wave DFT calculation with PBE was carried out for In2BiPb4 after structural relaxation.

abc: 5.6476 5.6476 23.3063
angles: 90.00 90.00 120.00
Space group R-3m (No. 166, hexagonal axes)
Asymmetric unit:
In (0.0000, 0.0000, 0.2100) (multiplicity 6)
Bi (0.0000, 0.0000, 0.5000) (multiplicity 3)
Pb (0.0000, 0.0000, 0.0722) (multiplicity 6)
Pb (0.0000, 0.0000, 0.3530) (multiplicity 6)

Summary:
VASP energy, eV per atom: -3.406
Formation energy from the elements, kcal/mol of atoms: 1.15
ρ, Mg/m³: 9.808